MnTcF2 after structural relaxation, computed with PBE with a Hubbard U.

a = 8.1180 Å, b = 8.1180 Å, c = 8.1180 Å
α = 19.49°, β = 19.49°, γ = 19.49°
Last column: nearest neighbours and their distance in Å.
Atoms (fractional coordinates):
Mn  0.0000  0.0000  0.0000  2 F 1.95
Tc  0.5000  0.5000  0.5000  6 F 2.57, 6 Tc 2.75
F  0.9182  0.9182  0.9182  1 Mn 1.95
F  0.0818  0.0818  0.0818  1 Mn 1.95

Mass density ... 6.09 g cm⁻³
Distance to the lowest polymorph of the same formula ... 354 meV per atom
Total DFT energy (no corrections) ... -5.986 eV/atom
Symmetry ... R-3m (166)
Density of states at the Fermi level ... 0.4477 states/eV/atom